DFT (GGA-PBE) results for Ho4PaRh5 after structural relaxation.

Properties
Crystal system   tetragonal
Calculated volume   202 Å³/f.u.
D(E_F)   7.6 states/eV/f.u.
M_tot   0.0 μB per cell
Formation enthalpy at 0 K   -81.8 kJ per mole of atoms

a b c (Å): 3.418 3.418 17.327
angles (deg): 90.00 90.00 90.00
Fractional positions:
Ho  0.000  0.000  0.599
Ho  0.000  0.000  0.204
Rh  0.500  0.500  0.699
Rh  0.500  0.500  0.908
Rh  0.500  0.500  0.500
Rh  0.500  0.500  0.301
Ho  0.000  0.000  0.401
Rh  0.500  0.500  0.092
Pa  0.000  0.000  0.000
Ho  0.000  0.000  0.796